VASP calculation (GGA-PBE) on a geometry-optimized In2OsW structure.

a = 6.251 Å, b = 6.251 Å, c = 6.251 Å
α = 153.06°, β = 135.36°, γ = 52.91°
Fractional positions:
In: 0.022 0.022 0.000
In: 0.716 0.216 0.500
Os: 0.475 0.475 0.000
W: 0.286 0.786 0.500

Properties
* DFT formation energy: 0.5517 eV per atom
* energy above the most stable polymorph in this dataset: 0.3458 eV/atom
* calculated density: 12.952 Mg/m³